K2InTe: optimized geometry, GGA-PBE.

Results
**ρ**: 3.35 Mg/m³
**Symmetry**: Imm2 (44)
**ΔE_f (raw)**: -49 kJ/mol of atoms
**ΔE to the lowest computed polymorph**: 43 meV per atom

```
data_K2InTe
_cell_length_a 7.347
_cell_length_b 7.347
_cell_length_c 7.347
_cell_angle_alpha 145.15
_cell_angle_beta 134.91
_cell_angle_gamma 58.22
_symmetry_space_group_name_H-M 'P 1'
_symmetry_Int_Tables_number 1
loop_
_symmetry_equiv_pos_as_xyz
'x,y,z'
loop_
_atom_site_label
_atom_site_type_symbol
_atom_site_fract_x
_atom_site_fract_y
_atom_site_fract_z
_atom_site_occupancy
K1 K 0.000 0.000 0.000 1
K2 K 0.710 0.210 0.500 1
In1 In 0.412 0.412 0.000 1
Te1 Te 0.245 0.745 0.500 1
```



Tb2Si2Ni3: optimized geometry, GGA-PBE.

Results
**ρ**: 7.97 Mg/m³
**Symmetry**: C2/m (12)
**ΔE_f (raw)**: -68 kJ/mol of atoms

```
data_Tb2Si2Ni3
_cell_length_a 5.482
_cell_length_b 5.482
_cell_length_c 6.698
_cell_angle_alpha 115.44
_cell_angle_beta 115.44
_cell_angle_gamma 39.82
_symmetry_space_group_name_H-M 'P 1'
_symmetry_Int_Tables_number 1
loop_
_symmetry_equiv_pos_as_xyz
'x,y,z'
loop_
_atom_site_label
_atom_site_type_symbol
_atom_site_fract_x
_atom_site_fract_y
_atom_site_fract_z
_atom_site_occupancy
Tb1 Tb 0.133 0.133 0.260 1
Tb2 Tb 0.867 0.867 0.740 1
Si1 Si 0.143 0.143 0.720 1
Si2 Si 0.857 0.857 0.280 1
Ni1 Ni 0.358 0.358 0.073 1
Ni2 Ni 0.500 0.500 0.500 1
Ni3 Ni 0.642 0.642 0.927 1
```



SiSeBr: optimized geometry, GGA-PBE.

Results
**ρ**: 3.23 Mg/m³
**Symmetry**: P1 (1)
**ΔE_f (raw)**: -30 kJ/mol of atoms
**ΔE to the lowest computed polymorph**: 217 meV per atom

```
data_SiSeBr
_cell_length_a 3.748
_cell_length_b 3.752
_cell_length_c 7.113
_cell_angle_alpha 81.71
_cell_angle_beta 88.78
_cell_angle_gamma 76.33
_symmetry_space_group_name_H-M 'P 1'
_symmetry_Int_Tables_number 1
loop_
_symmetry_equiv_pos_as_xyz
'x,y,z'
loop_
_atom_site_label
_atom_site_type_symbol
_atom_site_fract_x
_atom_site_fract_y
_atom_site_fract_z
_atom_site_occupancy
Si1 Si 0.000 0.000 0.000 1
Se1 Se 0.605 0.637 0.895 1
Br1 Br 0.008 0.912 0.318 1
```



SiS2N2: optimized geometry, GGA-PBE.

Results
**ρ**: 2.87 Mg/m³
**Symmetry**: P4/mmm (123)
**ΔE_f (raw)**: 148 kJ/mol of atoms
**ΔE to the lowest computed polymorph**: 911 meV per atom

```
data_SiS2N2
_cell_length_a 4.595
_cell_length_b 4.595
_cell_length_c 3.290
_cell_angle_alpha 90.00
_cell_angle_beta 90.00
_cell_angle_gamma 90.00
_symmetry_space_group_name_H-M 'P 1'
_symmetry_Int_Tables_number 1
loop_
_symmetry_equiv_pos_as_xyz
'x,y,z'
loop_
_atom_site_label
_atom_site_type_symbol
_atom_site_fract_x
_atom_site_fract_y
_atom_site_fract_z
_atom_site_occupancy
Si1 Si 0.000 0.000 0.000 1
S1 S 0.000 0.500 0.000 1
S2 S 0.500 0.000 0.000 1
N1 N 0.000 0.000 0.500 1
N2 N 0.500 0.500 0.500 1
```



Ac2GeBr2: optimized geometry, GGA-PBE.

Results
**ρ**: 5.76 Mg/m³
**Symmetry**: C2/m (12)
**ΔE_f (raw)**: -143 kJ/mol of atoms
**ΔE to the lowest computed polymorph**: 0 meV per atom

```
data_Ac2GeBr2
_cell_length_a 4.627
_cell_length_b 4.627
_cell_length_c 10.671
_cell_angle_alpha 90.45
_cell_angle_beta 90.45
_cell_angle_gamma 59.98
_symmetry_space_group_name_H-M 'P 1'
_symmetry_Int_Tables_number 1
loop_
_symmetry_equiv_pos_as_xyz
'x,y,z'
loop_
_atom_site_label
_atom_site_type_symbol
_atom_site_fract_x
_atom_site_fract_y
_atom_site_fract_z
_atom_site_occupancy
Ac1 Ac 0.169 0.169 0.164 1
Ac2 Ac 0.831 0.831 0.836 1
Ge1 Ge 0.500 0.500 0.000 1
Br1 Br 0.163 0.163 0.667 1
Br2 Br 0.837 0.837 0.333 1
```



BaMg2GaAg4: optimized geometry, GGA-PBE.

Results
**ρ**: 6.08 Mg/m³
**Symmetry**: R-3m (166)
**E_form**: -156 meV/atom

```
data_BaMg2GaAg4
_cell_length_a 10.294
_cell_length_b 10.294
_cell_length_c 10.294
_cell_angle_alpha 26.21
_cell_angle_beta 26.21
_cell_angle_gamma 26.21
_symmetry_space_group_name_H-M 'P 1'
_symmetry_Int_Tables_number 1
loop_
_symmetry_equiv_pos_as_xyz
'x,y,z'
loop_
_atom_site_label
_atom_site_type_symbol
_atom_site_fract_x
_atom_site_fract_y
_atom_site_fract_z
_atom_site_occupancy
Ba1 Ba 0.000 0.000 0.000 1
Mg1 Mg 0.232 0.232 0.232 1
Mg2 Mg 0.768 0.768 0.768 1
Ga1 Ga 0.500 0.500 0.500 1
Ag1 Ag 0.134 0.134 0.134 1
Ag2 Ag 0.410 0.410 0.410 1
Ag3 Ag 0.590 0.590 0.590 1
Ag4 Ag 0.866 0.866 0.866 1
```



SrHf2MgSc: optimized geometry, GGA-PBE.

Results
**ρ**: 5.97 Mg/m³
**Symmetry**: P4/mmm (123)
**E_form**: 1659 meV/atom

```
data_SrHf2MgSc
_cell_length_a 5.185
_cell_length_b 5.185
_cell_length_c 5.318
_cell_angle_alpha 90.00
_cell_angle_beta 90.00
_cell_angle_gamma 90.00
_symmetry_space_group_name_H-M 'P 1'
_symmetry_Int_Tables_number 1
loop_
_symmetry_equiv_pos_as_xyz
'x,y,z'
loop_
_atom_site_label
_atom_site_type_symbol
_atom_site_fract_x
_atom_site_fract_y
_atom_site_fract_z
_atom_site_occupancy
Sr1 Sr 0.000 0.000 0.000 1
Hf1 Hf 0.000 0.500 0.000 1
Hf2 Hf 0.500 0.000 0.000 1
Mg1 Mg 0.000 0.000 0.500 1
Sc1 Sc 0.500 0.500 0.500 1
```



TaHg2: optimized geometry, GGA-PBE.

Results
**ρ**: 15.53 Mg/m³
**Symmetry**: P6_3/mmc (194)
**E_form**: 736 meV/atom

```
data_TaHg2
_cell_length_a 5.745
_cell_length_b 5.745
_cell_length_c 8.709
_cell_angle_alpha 90.00
_cell_angle_beta 90.00
_cell_angle_gamma 120.00
_symmetry_space_group_name_H-M 'P 1'
_symmetry_Int_Tables_number 1
loop_
_symmetry_equiv_pos_as_xyz
'x,y,z'
loop_
_atom_site_label
_atom_site_type_symbol
_atom_site_fract_x
_atom_site_fract_y
_atom_site_fract_z
_atom_site_occupancy
Ta1 Ta 0.333 0.667 0.091 1
Ta2 Ta 0.333 0.667 0.409 1
Ta3 Ta 0.667 0.333 0.591 1
Ta4 Ta 0.667 0.333 0.909 1
Hg1 Hg 0.000 0.000 0.000 1
Hg2 Hg 0.000 0.000 0.500 1
Hg3 Hg 0.175 0.350 0.750 1
Hg4 Hg 0.175 0.825 0.750 1
Hg5 Hg 0.350 0.175 0.250 1
Hg6 Hg 0.650 0.825 0.750 1
Hg7 Hg 0.825 0.175 0.250 1
Hg8 Hg 0.825 0.650 0.250 1
```



Please write out number 1 again, unchanged.
K2InTe: optimized geometry, GGA-PBE.

Results
**ρ**: 3.35 Mg/m³
**Symmetry**: Imm2 (44)
**ΔE_f (raw)**: -49 kJ/mol of atoms
**ΔE to the lowest computed polymorph**: 43 meV per atom

```
data_K2InTe
_cell_length_a 7.347
_cell_length_b 7.347
_cell_length_c 7.347
_cell_angle_alpha 145.15
_cell_angle_beta 134.91
_cell_angle_gamma 58.22
_symmetry_space_group_name_H-M 'P 1'
_symmetry_Int_Tables_number 1
loop_
_symmetry_equiv_pos_as_xyz
'x,y,z'
loop_
_atom_site_label
_atom_site_type_symbol
_atom_site_fract_x
_atom_site_fract_y
_atom_site_fract_z
_atom_site_occupancy
K1 K 0.000 0.000 0.000 1
K2 K 0.710 0.210 0.500 1
In1 In 0.412 0.412 0.000 1
Te1 Te 0.245 0.745 0.500 1
```



> ρ of number 6 (BaMg2GaAg4)?

6.08 Mg/m³



> Which value of ρ does entry 8 give?

15.53 Mg/m³